Entry 1:
{
  "formula": "Mn2ZnIr",
  "functional": "PBE-GGA",
  "state": "optimized geometry",
  "crystal_system": "orthorhombic",
  "lattice_angstrom": [[-1.084, -1.827, 1.549], [1.873, 1.476, 1.108], [-5.860, 5.577, 2.476]],
  "species": ["Mn", "Ir", "Zn", "Mn"],
  "frac_coords": [[0.000, 0.000, 0.013], [0.500, 0.500, 0.759], [0.000, 0.000, 0.490], [0.500, 0.500, 0.237]]
}

---

Entry 2:
{
  "formula": "Mn2Zn12Ir",
  "functional": "PBE-GGA",
  "state": "optimized geometry",
  "crystal_system": "orthorhombic",
  "lattice_angstrom": [[4.944, -1.073, 0.000], [-1.073, 4.944, 0.000], [0.000, 0.000, 19.827]],
  "species": ["Zn", "Zn", "Zn", "Zn", "Zn", "Mn", "Zn", "Mn", "Zn", "Zn", "Zn", "Zn", "Mn", "Zn", "Zn", "Zn", "Mn", "Zn", "Zn", "Zn", "Zn", "Ir", "Zn", "Ir", "Zn", "Zn", "Zn", "Zn", "Zn", "Zn"],
  "frac_coords": [[0.750, 0.750, 0.564], [0.250, 0.750, 0.614], [0.750, 0.250, 0.882], [0.750, 0.750, 0.436], [0.500, 0.500, 0.686], [0.500, 0.000, 0.749], [0.250, 0.250, 0.564], [0.000, 0.500, 0.251], [0.250, 0.250, 0.436], [0.750, 0.750, 0.929], [0.500, 0.500, 0.191], [0.750, 0.250, 0.386], [0.500, 0.000, 0.251], [0.000, 0.000, 0.314], [0.000, 0.000, 0.686], [0.750, 0.250, 0.614], [0.000, 0.500, 0.749], [0.750, 0.250, 0.118], [0.000, 0.000, 0.191], [0.250, 0.250, 0.071], [0.250, 0.750, 0.882], [0.000, 0.500, 0.000], [0.250, 0.750, 0.118], [0.500, 0.000, 0.000], [0.250, 0.750, 0.386], [0.250, 0.250, 0.929], [0.000, 0.000, 0.809], [0.500, 0.500, 0.809], [0.750, 0.750, 0.071], [0.500, 0.500, 0.314]]
}

---

Entry 3:
{
  "formula": "MnZn6Ir",
  "functional": "PBE-GGA",
  "state": "optimized geometry",
  "crystal_system": "monoclinic",
  "relative_energy_kj_per_mol_atoms": 15.9,
  "lattice_angstrom": [[4.358, 0.032, 0.922], [0.974, 4.248, 0.922], [-0.070, -0.057, 7.157]],
  "species": ["Ir", "Mn", "Zn", "Zn", "Zn", "Zn", "Zn", "Zn"],
  "frac_coords": [[0.500, 0.500, 0.500], [0.000, 0.000, 0.000], [0.451, 0.947, 0.691], [0.549, 0.053, 0.309], [0.386, 0.386, 0.895], [0.947, 0.451, 0.691], [0.614, 0.614, 0.105], [0.053, 0.549, 0.309]]
}

---

Entry 4:
{
  "formula": "MnZn2Ir3",
  "functional": "PBE-GGA",
  "state": "optimized geometry",
  "crystal_system": "orthorhombic",
  "lattice_angstrom": [[4.280, 0.000, 0.017], [2.140, 6.423, 0.009], [-0.024, 0.000, 6.045]],
  "species": ["Mn", "Ir", "Mn", "Ir", "Zn", "Zn", "Ir", "Zn", "Ir", "Ir", "Zn", "Ir"],
  "frac_coords": [[0.336, 0.327, 0.000], [0.500, 0.000, 0.250], [0.664, 0.673, 0.000], [0.170, 0.661, 0.757], [0.333, 0.334, 0.500], [0.000, 0.000, 0.500], [0.500, 0.000, 0.750], [0.000, 0.000, 0.000], [0.830, 0.339, 0.757], [0.170, 0.661, 0.243], [0.667, 0.666, 0.500], [0.830, 0.339, 0.243]]
}

---

Entry 5:
{
  "formula": "MnZnIr",
  "functional": "PBE-GGA",
  "state": "optimized geometry",
  "crystal_system": "tetragonal",
  "lattice_angstrom": [[-2.502, 2.314, 1.153], [-1.437, 0.090, -3.297], [-4.221, -5.408, 1.693]],
  "species": ["Ir", "Mn", "Zn", "Mn", "Zn", "Ir"],
  "frac_coords": [[0.836, 0.336, 0.228], [0.337, 0.837, 0.132], [0.336, 0.336, 0.500], [0.837, 0.337, 0.868], [0.836, 0.836, 0.500], [0.336, 0.836, 0.772]]
}

---

Entry 6:
{
  "formula": "MnZnIr4",
  "functional": "PBE-GGA",
  "state": "optimized geometry",
  "crystal_system": "cubic",
  "lattice_angstrom": [[0.000, 3.654, 3.654], [3.654, 0.000, 3.654], [3.654, 3.654, 0.000]],
  "species": ["Ir", "Zn", "Ir", "Ir", "Ir", "Mn"],
  "frac_coords": [[0.375, 0.375, 0.875], [0.000, 0.000, 0.000], [0.375, 0.875, 0.375], [0.375, 0.375, 0.375], [0.875, 0.375, 0.375], [0.750, 0.750, 0.750]]
}

---

Entry 7:
{
  "formula": "Mn2ZnIr",
  "functional": "PBE-GGA",
  "state": "optimized geometry",
  "crystal_system": "tetragonal",
  "lattice_angstrom": [[4.378, 0.000, 0.000], [0.000, 4.378, 0.000], [0.000, 0.000, 2.914]],
  "species": ["Zn", "Mn", "Ir", "Mn"],
  "frac_coords": [[0.500, 0.000, 0.500], [0.000, 0.000, 0.000], [0.000, 0.500, 0.500], [0.500, 0.500, 0.000]]
}

---

Entry 8:
{
  "formula": "Mn2ZnIr",
  "functional": "PBE-GGA",
  "state": "optimized geometry",
  "crystal_system": "orthorhombic",
  "lattice_angstrom": [[-0.868, 2.581, 2.568], [-2.497, 0.226, -1.071], [-4.200, -3.526, 2.124]],
  "species": ["Mn", "Mn", "Zn", "Ir"],
  "frac_coords": [[0.000, 0.493, 0.507], [0.000, 0.007, 0.993], [0.500, 0.250, 0.250], [0.500, 0.750, 0.750]]
}

---

no.,E_form (eV per atom)
1,0.17
2,0.06
3,0.09
4,-0.18
5,0.10
6,0.28
7,-0.07
8,-0.03